[1]
DFT (PBE) results for an optimized crystal structure of Er3Sc2Cu3.

Output
Its symmetry is No. 71. The calculation puts the total energy at -5.03 eV/atom.

The structure in POSCAR format:
```
Er3Sc2Cu3
1.0
-1.7062 2.4651 10.1391
1.7062 -2.4651 10.1391
1.7062 2.4651 -10.1391
Er Sc Cu
3 2 3
Direct
0.0000 0.0000 0.0000
0.3799 0.8799 0.5000
0.6201 0.1201 0.5000
0.2293 0.2293 0.0000
0.7707 0.7707 0.0000
0.1209 0.6209 0.5000
0.5000 0.5000 0.0000
0.8791 0.3791 0.5000
```



[2]
DFT (PBE) results for an optimized crystal structure of ErSc3Cu8.

Output
Its symmetry is No. 156. The calculation puts the total energy at -4.93 eV/atom.

The structure in POSCAR format:
```
ErSc3Cu8
1.0
5.1138 0.0000 0.0000
-2.5569 4.4287 0.0000
0.0000 0.0000 8.2524
Er Sc Cu
1 3 8
Direct
0.0000 0.0000 0.0000
0.0000 0.0000 0.3930
0.6667 0.3333 0.4884
0.6667 0.3333 0.8691
0.1663 0.3326 0.6849
0.1663 0.8337 0.6849
0.3333 0.6667 0.4346
0.3333 0.6667 0.9369
0.5018 0.0036 0.1894
0.5018 0.4982 0.1894
0.6674 0.8337 0.6849
0.9964 0.4982 0.1894
```



[3]
DFT (PBE) results for an optimized crystal structure of ErScCu4.

Output
Its symmetry is No. 44. The value obtained for the energy relative to the lowest polymorph listed for this composition is 0.00 kcal/mol of atoms. The calculation puts the total energy at -4.80 eV/atom.

The structure in POSCAR format:
```
ErScCu4
1.0
-2.1091 3.2716 3.6190
2.1091 -3.2716 3.6190
2.1091 3.2716 -3.6190
Er Sc Cu
1 1 4
Direct
0.0000 0.0000 0.0000
0.5949 0.0949 0.5000
0.0133 0.7143 0.2991
0.1912 0.3866 0.8046
0.4152 0.7143 0.7009
0.5821 0.3866 0.1954
```



[4]
DFT (PBE) results for an optimized crystal structure of Er4ScCu.

Output
Its symmetry is No. 123. The calculation puts the total energy at -4.83 eV/atom.

The structure in POSCAR format:
```
Er4ScCu
1.0
3.4262 0.0000 0.0000
0.0000 3.4262 0.0000
0.0000 0.0000 13.3965
Er Sc Cu
4 1 1
Direct
0.0000 0.0000 0.1285
0.0000 0.0000 0.8715
0.5000 0.5000 0.3256
0.5000 0.5000 0.6744
0.0000 0.0000 0.5000
0.5000 0.5000 0.0000
```